No. 1
First-principles (GGA-PBE) data for a relaxed structure of YMgCu, as listed in Alexandria via LeMat-Bulk.

Geometry as CIF:
```
data_YMgCu
_space_group_name_H-M_alt 'P 1'
_space_group_IT_number 1
_space_group_name_Hall 'P 1'
_cell_length_a 5.464
_cell_length_b 8.220
_cell_length_c 5.736
_cell_angle_alpha 90.00
_cell_angle_beta 90.00
_cell_angle_gamma 90.00
loop_
_atom_site_label
_atom_site_type_symbol
_atom_site_fract_x
_atom_site_fract_y
_atom_site_fract_z
Y1 Y 0.174 0.099 0.250
Y2 Y 0.174 0.401 0.750
Y3 Y 0.826 0.599 0.250
Y4 Y 0.826 0.901 0.750
Mg1 Mg 0.336 0.750 0.000
Mg2 Mg 0.336 0.750 0.500
Mg3 Mg 0.664 0.250 0.000
Mg4 Mg 0.664 0.250 0.500
Cu1 Cu 0.326 0.047 0.750
Cu2 Cu 0.326 0.453 0.250
Cu3 Cu 0.674 0.547 0.750
Cu4 Cu 0.674 0.953 0.250
```

Properties
Symmetry: No. 57
Energy of formation from the pure elements: -0.202 eV per atom
E above lowest polymorph: 1.7 kJ/mol of atoms


No. 2
First-principles (GGA-PBE) data for a relaxed structure of Al2CuTe4Au, as listed in Alexandria via LeMat-Bulk.

Geometry as CIF:
```
data_Al2CuTe4Au
_space_group_name_H-M_alt 'P 1'
_space_group_IT_number 1
_space_group_name_Hall 'P 1'
_cell_length_a 8.643
_cell_length_b 7.567
_cell_length_c 7.198
_cell_angle_alpha 90.00
_cell_angle_beta 90.00
_cell_angle_gamma 90.00
loop_
_atom_site_label
_atom_site_type_symbol
_atom_site_fract_x
_atom_site_fract_y
_atom_site_fract_z
Al1 Al 0.250 0.160 0.000
Al2 Al 0.250 0.840 0.500
Al3 Al 0.750 0.160 0.000
Al4 Al 0.750 0.840 0.500
Cu1 Cu 0.000 0.321 0.511
Cu2 Cu 0.500 0.679 0.011
Te1 Te 0.000 0.331 0.871
Te2 Te 0.000 0.652 0.398
Te3 Te 0.240 0.167 0.371
Te4 Te 0.260 0.833 0.871
Te5 Te 0.500 0.348 0.898
Te6 Te 0.500 0.669 0.371
Te7 Te 0.740 0.833 0.871
Te8 Te 0.760 0.167 0.371
Au1 Au 0.000 0.678 0.021
Au2 Au 0.500 0.322 0.521
```

Properties
Symmetry: No. 31
Formation energy without anion corrections: -0.305 eV per atom


No. 3
First-principles (GGA-PBE) data for a relaxed structure of NaNbTe2, as listed in Alexandria via LeMat-Bulk.

Geometry as CIF:
```
data_NaNbTe2
_space_group_name_H-M_alt 'P 1'
_space_group_IT_number 1
_space_group_name_Hall 'P 1'
_cell_length_a 3.509
_cell_length_b 3.509
_cell_length_c 7.816
_cell_angle_alpha 90.00
_cell_angle_beta 90.00
_cell_angle_gamma 90.00
loop_
_atom_site_label
_atom_site_type_symbol
_atom_site_fract_x
_atom_site_fract_y
_atom_site_fract_z
Na1 Na 0.000 0.000 0.000
Nb1 Nb 0.000 0.000 0.500
Te1 Te 0.500 0.500 0.289
Te2 Te 0.500 0.500 0.711
```

Properties
Symmetry: No. 123
Formation energy without anion corrections: -0.475 eV per atom


No. 4
First-principles (GGA-PBE) data for a relaxed structure of In2ReTc, as listed in Alexandria via LeMat-Bulk.

Geometry as CIF:
```
data_In2ReTc
_space_group_name_H-M_alt 'P 1'
_space_group_IT_number 1
_space_group_name_Hall 'P 1'
_cell_length_a 2.915
_cell_length_b 2.915
_cell_length_c 9.251
_cell_angle_alpha 90.00
_cell_angle_beta 90.00
_cell_angle_gamma 114.96
loop_
_atom_site_label
_atom_site_type_symbol
_atom_site_fract_x
_atom_site_fract_y
_atom_site_fract_z
In1 In 0.000 0.000 0.247
In2 In 0.000 0.000 0.753
Re1 Re 0.500 0.500 0.500
Tc1 Tc 0.500 0.500 0.000
```

Properties
Symmetry: No. 65
Energy of formation from the pure elements: 0.636 eV per atom
E above lowest polymorph: 49.6 kJ/mol of atoms